# 1
# ZnCoRu3

ZnCoRu3 after structural relaxation (PBE-GGA, Alexandria via LeMat-Bulk).

Lattice parameters (Å, degrees): 4.4190 4.4190 4.4190 90.00 90.00 90.00
Closest atoms and distances in Å follow each position.
Atoms (fractional coordinates):
Zn (0.0000, 0.0000, 0.0000)  6 Ru 2.21
Co (0.5000, 0.5000, 0.5000)  12 Ru 3.12
Ru (0.0000, 0.0000, 0.5000)  2 Zn 2.21
Ru (0.0000, 0.5000, 0.0000)  2 Zn 2.21
Ru (0.5000, 0.0000, 0.0000)  2 Zn 2.21

Values from the calculation:
Space-group type ... Pm-3m (221)
Energy ... -5.28 eV per atom
Energy of formation ... 1961 meV per atom
Distance to the lowest polymorph of the same formula ... 589 meV/atom
M_tot ... 0.00 μB/f.u.

---

# 2
# Pr3SmY3Te8

Pr3SmY3Te8 after structural relaxation (PBE-GGA, Alexandria via LeMat-Bulk).

Lattice parameters (Å, degrees): 8.8840 8.8840 8.8840 59.69 59.69 59.69
Closest atoms and distances in Å follow each position.
Atoms (fractional coordinates):
Pr (0.0000, 0.5000, 0.5000)  6 Te 3.19
Pr (0.5000, 0.0000, 0.5000)  6 Te 3.19
Pr (0.5000, 0.5000, 0.0000)  6 Te 3.19
Sm (0.5000, 0.5000, 0.5000)  6 Te 3.20
Y (0.0000, 0.0000, 0.5000)  6 Te 3.08
Y (0.0000, 0.5000, 0.0000)  6 Te 3.08
Y (0.5000, 0.0000, 0.0000)  6 Te 3.08
Te (0.2358, 0.7554, 0.7554)  2 Y 3.08, 2 Pr 3.19, 1 Sm 3.20
Te (0.2446, 0.2446, 0.7642)  2 Y 3.08, 2 Pr 3.19, 1 Sm 3.20
Te (0.2446, 0.7642, 0.2446)  2 Y 3.08, 2 Pr 3.19, 1 Sm 3.20
Te (0.2457, 0.2457, 0.2457)  3 Y 3.08, 3 Pr 3.19
Te (0.7543, 0.7543, 0.7543)  3 Y 3.08, 3 Pr 3.19
Te (0.7554, 0.2358, 0.7554)  2 Y 3.08, 2 Pr 3.19, 1 Sm 3.20
Te (0.7554, 0.7554, 0.2358)  2 Y 3.08, 2 Pr 3.19, 1 Sm 3.20
Te (0.7642, 0.2446, 0.2446)  2 Y 3.08, 2 Pr 3.19, 1 Sm 3.20

Values from the calculation:
Space-group type ... R-3m (166)
Energy ... -5.67 eV per atom
M_tot ... 0.00 μB/f.u.
ΔE_f (raw) ... -21.490 eV/f.u.

---

# 3
# Y2Mg2Ru

Y2Mg2Ru after structural relaxation (PBE-GGA, Alexandria via LeMat-Bulk).

Lattice parameters (Å, degrees): 6.9339 6.9339 4.9219 90.00 90.00 90.00
Closest atoms and distances in Å follow each position.
Atoms (fractional coordinates):
Y (0.1821, 0.3179, 0.0000)  6 Mg 3.01-3.34
Y (0.3179, 0.8179, 0.0000)  6 Mg 3.01-3.34
Y (0.6821, 0.1821, 0.0000)  6 Mg 3.01-3.34
Y (0.8179, 0.6821, 0.0000)  6 Mg 3.01-3.34
Mg (0.1419, 0.6419, 0.5000)  2 Ru 2.67, 1 Mg 2.78
Mg (0.3581, 0.1419, 0.5000)  2 Ru 2.67, 1 Mg 2.78
Mg (0.6419, 0.8581, 0.5000)  2 Ru 2.67, 1 Mg 2.78
Mg (0.8581, 0.3581, 0.5000)  2 Ru 2.67, 1 Mg 2.78
Ru (0.0000, 0.0000, 0.5000)  4 Mg 2.67
Ru (0.5000, 0.5000, 0.5000)  4 Mg 2.67

Values from the calculation:
Space-group type ... P4/mbm (127)
Energy ... -4.92 eV per atom
Energy of formation ... 155 meV per atom
Distance to the lowest polymorph of the same formula ... 396 meV/atom
M_tot ... 0.00 μB/f.u.

---

# 4
# Li2DyZr2Se6

Li2DyZr2Se6 after structural relaxation (PBE-GGA, Alexandria via LeMat-Bulk).

Lattice parameters (Å, degrees): 6.7409 6.7409 6.9331 99.27 99.27 120.33
Closest atoms and distances in Å follow each position.
Atoms (fractional coordinates):
Li (0.1646, 0.8354, 0.0000)  6 Se 2.74-2.81
Li (0.8354, 0.1646, 0.0000)  6 Se 2.74-2.81
Dy (0.0000, 0.0000, 0.5000)  6 Se 2.84-2.85
Zr (0.3343, 0.6657, 0.5000)  6 Se 2.74
Zr (0.6657, 0.3343, 0.5000)  6 Se 2.74
Se (0.0810, 0.4281, 0.7481)  2 Li 2.74-2.81, 2 Zr 2.74, 1 Dy 2.84
Se (0.2630, 0.2630, 0.2499)  2 Zr 2.74, 2 Li 2.80, 1 Dy 2.85
Se (0.4281, 0.0810, 0.7481)  2 Li 2.74-2.81, 2 Zr 2.74, 1 Dy 2.84
Se (0.5719, 0.9190, 0.2519)  2 Li 2.74-2.81, 2 Zr 2.74, 1 Dy 2.84
Se (0.7370, 0.7370, 0.7501)  2 Zr 2.74, 2 Li 2.80, 1 Dy 2.85
Se (0.9190, 0.5719, 0.2519)  2 Li 2.74-2.81, 2 Zr 2.74, 1 Dy 2.84

Values from the calculation:
Space-group type ... C2/m (12)
Energy ... -5.67 eV per atom
M_tot ... 0.00 μB/f.u.
ΔE_f (raw) ... -15.979 eV/f.u.

---

# 5
# Sr3LiNd3Te8

Sr3LiNd3Te8 after structural relaxation (PBE-GGA, Alexandria via LeMat-Bulk).

Lattice parameters (Å, degrees): 9.2705 9.2705 9.2705 58.97 58.97 58.97
Closest atoms and distances in Å follow each position.
Atoms (fractional coordinates):
Sr (0.0000, 0.5000, 0.5000)  6 Te 3.30-3.34
Sr (0.5000, 0.0000, 0.5000)  6 Te 3.30-3.34
Sr (0.5000, 0.5000, 0.0000)  6 Te 3.30-3.34
Li (0.5000, 0.5000, 0.5000)  6 Te 3.16
Nd (0.0000, 0.0000, 0.5000)  6 Te 3.17-3.20
Nd (0.0000, 0.5000, 0.0000)  6 Te 3.17-3.20
Nd (0.5000, 0.0000, 0.0000)  6 Te 3.17-3.20
Te (0.2447, 0.7430, 0.7430)  1 Li 3.16, 2 Nd 3.17, 2 Sr 3.34
Te (0.2462, 0.2462, 0.2462)  3 Nd 3.20, 3 Sr 3.30
Te (0.2570, 0.2570, 0.7553)  1 Li 3.16, 2 Nd 3.17, 2 Sr 3.34
Te (0.2570, 0.7553, 0.2570)  1 Li 3.16, 2 Nd 3.17, 2 Sr 3.34
Te (0.7430, 0.2447, 0.7430)  1 Li 3.16, 2 Nd 3.17, 2 Sr 3.34
Te (0.7430, 0.7430, 0.2447)  1 Li 3.16, 2 Nd 3.17, 2 Sr 3.34
Te (0.7538, 0.7538, 0.7538)  3 Nd 3.20, 3 Sr 3.30
Te (0.7553, 0.2570, 0.2570)  1 Li 3.16, 2 Nd 3.17, 2 Sr 3.34

Values from the calculation:
Space-group type ... R-3m (166)
Energy ... -4.54 eV per atom
M_tot ... 0.00 μB/f.u.
ΔE_f (raw) ... -21.757 eV/f.u.

---

# 6
# BaCrGaBi2

BaCrGaBi2 after structural relaxation (PBE-GGA, Alexandria via LeMat-Bulk).

Lattice parameters (Å, degrees): 5.4987 5.4987 5.9129 90.00 90.00 90.00
Closest atoms and distances in Å follow each position.
Atoms (fractional coordinates):
Ba (0.0000, 0.0000, 0.0000)  2 Ga 2.96
Cr (0.5000, 0.5000, 0.0000)  4 Ba 3.89, 8 Bi 4.04
Ga (0.0000, 0.0000, 0.5000)  4 Bi 2.75, 2 Ba 2.96
Bi (0.0000, 0.5000, 0.5000)  2 Ga 2.75
Bi (0.5000, 0.0000, 0.5000)  2 Ga 2.75

Values from the calculation:
Space-group type ... P4/mmm (123)
Energy ... -3.41 eV per atom
Energy of formation ... 1054 meV per atom
M_tot ... 0.40 μB/f.u.

---

# 7
# KBeNi2

KBeNi2 after structural relaxation (PBE-GGA, Alexandria via LeMat-Bulk).

Lattice parameters (Å, degrees): 2.7469 2.7469 7.7005 90.00 90.00 90.00
Closest atoms and distances in Å follow each position.
Atoms (fractional coordinates):
K (0.0000, 0.0000, 0.0000)  4 K 2.75
Be (0.0000, 0.0000, 0.5000)  8 Ni 2.30
Ni (0.5000, 0.5000, 0.3394)  4 Be 2.30, 1 Ni 2.47
Ni (0.5000, 0.5000, 0.6606)  4 Be 2.30, 1 Ni 2.47

Values from the calculation:
Space-group type ... P4/mmm (123)
Energy ... -3.74 eV per atom
Energy of formation ... 354 meV per atom
M_tot ... 0.00 μB/f.u.

---

# 8
# MgCrRe

MgCrRe after structural relaxation (PBE-GGA, Alexandria via LeMat-Bulk).

Lattice parameters (Å, degrees): 4.3408 4.3408 2.6498 90.00 90.00 120.00
Closest atoms and distances in Å follow each position.
Atoms (fractional coordinates):
Mg (0.0000, 0.0000, 0.0000)  2 Mg 2.65, 3 Cr 2.68, 6 Re 2.73-2.96
Cr (0.3333, 0.6667, 0.6421)  3 Re 2.58, 2 Cr 2.65, 3 Mg 2.68
Re (0.6667, 0.3333, 0.4061)  3 Cr 2.58, 2 Re 2.65, 3 Mg 2.73

Values from the calculation:
Space-group type ... P3m1 (156)
Energy ... -7.64 eV per atom
Energy of formation ... 246 meV per atom
Distance to the lowest polymorph of the same formula ... 0 meV/atom
M_tot ... 0.00 μB/f.u.

---

# 9
# PmNdPd2

PmNdPd2 after structural relaxation (PBE-GGA, Alexandria via LeMat-Bulk).

Lattice parameters (Å, degrees): 7.2639 7.2639 7.2639 33.59 33.59 33.59
Closest atoms and distances in Å follow each position.
Atoms (fractional coordinates):
Pm (0.0000, 0.0000, 0.0000)  6 Pd 2.96
Nd (0.5000, 0.5000, 0.5000)  6 Pd 2.98
Pd (0.2508, 0.2508, 0.2508)  3 Pm 2.96, 3 Nd 2.98
Pd (0.7492, 0.7492, 0.7492)  3 Pm 2.96, 3 Nd 2.98

Values from the calculation:
Space-group type ... R-3m (166)
Energy ... -5.66 eV per atom
Energy of formation ... -680 meV per atom
Distance to the lowest polymorph of the same formula ... 139 meV/atom
M_tot ... 0.00 μB/f.u.

---

# 10
# Cu2HgHAu

Cu2HgHAu after structural relaxation (PBE-GGA, Alexandria via LeMat-Bulk).

Lattice parameters (Å, degrees): 3.9508 3.9508 4.3403 90.00 90.00 90.00
Closest atoms and distances in Å follow each position.
Atoms (fractional coordinates):
Cu (0.0000, 0.5000, 0.0000)  2 H 1.98
Cu (0.5000, 0.0000, 0.0000)  2 H 1.98
Hg (0.0000, 0.0000, 0.5000)  2 H 2.17
H (0.0000, 0.0000, 0.0000)  4 Cu 1.98, 2 Hg 2.17
Au (0.5000, 0.5000, 0.5000)  4 Hg 2.79, 8 Cu 2.93

Values from the calculation:
Space-group type ... P4/mmm (123)
Energy ... -2.77 eV per atom
Distance to the lowest polymorph of the same formula ... 54 meV/atom
M_tot ... 0.00 μB/f.u.

---

# 11
# Rb2BaTlBr8

Rb2BaTlBr8 after structural relaxation (PBE-GGA, Alexandria via LeMat-Bulk).

Lattice parameters (Å, degrees): 7.2598 7.7258 9.3839 79.19 75.40 74.12
Closest atoms and distances in Å follow each position.
Atoms (fractional coordinates):
Rb (0.1037, 0.1398, 0.1805)  7 Br 3.46-3.76
Rb (0.8963, 0.8602, 0.8195)  7 Br 3.46-3.76
Ba (0.5000, 0.5000, 0.5000)  6 Br 3.24-3.32
Tl (0.5000, 0.5000, 0.0000)  6 Br 2.69-2.94
Br (0.2095, 0.5230, 0.2815)  1 Tl 2.94, 1 Ba 3.24
Br (0.2497, 0.4212, 0.8419)  1 Tl 2.86
Br (0.3277, 0.9451, 0.4928)  1 Br 2.89
Br (0.3627, 0.8555, 0.9153)  1 Tl 2.69
Br (0.6373, 0.1445, 0.0847)  1 Tl 2.69
Br (0.6723, 0.0549, 0.5072)  1 Br 2.89
Br (0.7503, 0.5788, 0.1581)  1 Tl 2.86
Br (0.7905, 0.4770, 0.7185)  1 Tl 2.94, 1 Ba 3.24

Values from the calculation:
Space-group type ... P-1 (2)
Energy ... -2.86 eV per atom
M_tot ... 0.99 μB/f.u.
ΔE_f (raw) ... -14.709 eV/f.u.

---

# 12
# Ti4AgMo

Ti4AgMo after structural relaxation (PBE-GGA, Alexandria via LeMat-Bulk).

Lattice parameters (Å, degrees): 4.5062 4.5062 7.2383 108.37 108.37 60.09
Closest atoms and distances in Å follow each position.
Atoms (fractional coordinates):
Ti (0.1209, 0.1209, 0.3639)  1 Mo 2.45
Ti (0.3666, 0.3666, 0.0993)  3 Mo 2.68-2.69, 1 Ag 2.70, 3 Ti 2.93
Ti (0.6334, 0.6334, 0.9007)  3 Mo 2.68-2.69, 1 Ag 2.70, 3 Ti 2.93
Ti (0.8791, 0.8791, 0.6361)  1 Mo 2.45
Ag (0.5000, 0.5000, 0.5000)  8 Ti 2.70-2.76
Mo (0.0000, 0.0000, 0.0000)  8 Ti 2.45-2.69

Values from the calculation:
Space-group type ... C2/m (12)
Energy ... -7.04 eV per atom
Energy of formation ... 504 meV per atom
M_tot ... 1.84 μB/f.u.

---

- M_tot of number 7 (KBeNi2)?
  0.00 μB/f.u.